No. 1
{"formula": "Rb2PmTmTe4", "functional": "PBE", "state": "optimized geometry", "cell": [[4.553, 0.000, 0.000], [0.000, 7.890, 0.135], [0.000, -2.772, 8.511]], "species": ["Pm", "Rb", "Te", "Tm", "Te", "Te", "Rb", "Te"], "fractional_positions": [[0.500, 0.500, 0.000], [0.000, 0.500, 0.500], [0.000, 0.258, 0.798], [0.000, 0.000, 0.000], [0.500, 0.775, 0.802], [0.000, 0.742, 0.202], [0.500, 0.000, 0.500], [0.500, 0.225, 0.198]], "e_form_raw_ev_per_atom": -1.3787, "volume_a3_per_atom": 38.4, "magnetic_moment_mub_per_cell": 0.0}

=====

No. 2
{"formula": "LiLaHg4", "functional": "PBE", "state": "optimized geometry", "cell": [[-5.718, 1.489, 1.051], [-2.823, 3.832, -3.655], [-4.335, -1.976, -3.650]], "species": ["La", "Hg", "Li", "Hg", "Hg", "Hg"], "fractional_positions": [[0.750, 0.750, 0.750], [0.375, 0.876, 0.375], [0.000, 0.000, 0.000], [0.876, 0.375, 0.375], [0.375, 0.375, 0.375], [0.375, 0.375, 0.876]], "relative_energy_mev_per_atom": 141, "volume_a3_per_atom": 25.5, "magnetic_moment_mub_per_cell": 0.0}

=====

No. 3
{"formula": "Ho3Cd5O12", "functional": "PBE", "state": "optimized geometry", "cell": [[-5.996, -0.146, 9.724], [7.039, -8.995, -0.269], [6.111, 9.637, -0.562]], "species": ["O", "O", "Cd", "O", "Ho", "O", "Cd", "Cd", "Cd", "O", "O", "O", "Ho", "Ho", "Ho", "O", "O", "O", "O", "O", "Ho", "O", "O", "Cd", "O", "O", "Ho", "Ho", "O", "O", "Cd", "O", "Cd", "O", "O", "Cd", "O", "Cd", "Cd", "O", "Ho", "Cd", "O", "O", "Ho", "O", "O", "Cd", "Cd", "O", "O", "O", "Cd", "O", "O", "O", "O", "Cd", "Ho", "O", "Ho", "Cd", "O", "O", "O", "O", "O", "O", "Cd", "Cd", "O", "O", "Cd", "O", "O", "O", "O", "O", "Ho", "Cd"], "fractional_positions": [[0.415, 0.142, 0.584], [0.358, 0.416, 0.085], [0.750, 0.625, 0.375], [0.642, 0.584, 0.915], [0.750, 0.375, 0.125], [0.774, 0.442, 0.358], [0.500, 0.500, 0.000], [0.125, 0.750, 0.375], [0.625, 0.750, 0.875], [0.669, 0.226, 0.585], [0.331, 0.774, 0.415], [0.831, 0.916, 0.058], [0.625, 0.375, 0.750], [0.875, 0.125, 0.250], [0.750, 0.875, 0.625], [0.058, 0.416, 0.831], [0.585, 0.726, 0.669], [0.726, 0.585, 0.169], [0.774, 0.331, 0.915], [0.416, 0.358, 0.585], [0.250, 0.625, 0.875], [0.169, 0.084, 0.942], [0.858, 0.585, 0.916], [0.750, 0.125, 0.875], [0.085, 0.169, 0.226], [0.916, 0.085, 0.858], [0.125, 0.250, 0.875], [0.125, 0.875, 0.750], [0.142, 0.415, 0.084], [0.942, 0.358, 0.274], [0.875, 0.250, 0.625], [0.831, 0.915, 0.274], [0.250, 0.375, 0.625], [0.584, 0.942, 0.669], [0.858, 0.274, 0.442], [0.000, 0.500, 0.500], [0.915, 0.831, 0.774], [0.000, 0.000, 0.000], [0.375, 0.125, 0.750], [0.442, 0.774, 0.858], [0.375, 0.625, 0.250], [0.250, 0.875, 0.125], [0.274, 0.858, 0.942], [0.558, 0.226, 0.142], [0.375, 0.750, 0.625], [0.416, 0.058, 0.331], [0.584, 0.642, 0.415], [0.500, 0.000, 0.500], [0.375, 0.250, 0.125], [0.442, 0.669, 0.084], [0.642, 0.058, 0.226], [0.358, 0.942, 0.774], [0.500, 0.500, 0.500], [0.058, 0.642, 0.726], [0.916, 0.831, 0.558], [0.669, 0.442, 0.584], [0.169, 0.085, 0.726], [0.875, 0.625, 0.750], [0.625, 0.250, 0.375], [0.084, 0.169, 0.442], [0.875, 0.750, 0.125], [0.500, 0.000, 0.000], [0.142, 0.726, 0.558], [0.415, 0.274, 0.331], [0.331, 0.558, 0.416], [0.942, 0.584, 0.169], [0.274, 0.415, 0.831], [0.585, 0.858, 0.416], [0.000, 0.000, 0.500], [0.625, 0.875, 0.250], [0.226, 0.669, 0.085], [0.726, 0.142, 0.058], [0.125, 0.375, 0.250], [0.226, 0.558, 0.642], [0.085, 0.916, 0.358], [0.915, 0.084, 0.642], [0.558, 0.331, 0.916], [0.084, 0.915, 0.142], [0.250, 0.125, 0.375], [0.000, 0.500, 0.000]], "e_form_raw_ev_per_atom": -1.5857, "volume_a3_per_atom": 14.3, "magnetic_moment_mub_per_cell": 6.9}

=====

No. 4
{"formula": "Ac2TlSn4Au3", "functional": "PBE", "state": "optimized geometry", "cell": [[4.918, 0.000, 0.000], [0.000, 4.918, 0.000], [0.000, 0.000, 11.200]], "species": ["Au", "Sn", "Tl", "Au", "Ac", "Sn", "Ac", "Sn", "Sn", "Au"], "fractional_positions": [[0.500, 0.000, 0.876], [0.500, 0.500, 0.000], [0.500, 0.500, 0.500], [0.000, 0.000, 0.500], [0.000, 0.500, 0.753], [0.000, 0.500, 0.362], [0.500, 0.000, 0.247], [0.000, 0.000, 0.000], [0.500, 0.000, 0.638], [0.000, 0.500, 0.124]], "volume_a3_per_atom": 27.1, "dft_energy_ev_per_cell": -41.44, "magnetic_moment_mub_per_cell": 0.0}

=====

No. 5
{"formula": "ReSi", "functional": "PBE", "state": "optimized geometry", "cell": [[1.500, 5.229, -0.004], [-1.500, 5.229, -0.004], [0.000, 1.911, 5.254]], "species": ["Re", "Re", "Si", "Re", "Si", "Si"], "fractional_positions": [[0.500, 0.500, 0.500], [0.815, 0.815, 0.294], [0.500, 0.500, 0.000], [0.185, 0.185, 0.706], [0.158, 0.158, 0.170], [0.842, 0.842, 0.830]], "e_form_raw_ev_per_atom": -0.1852, "volume_a3_per_atom": 13.7, "magnetic_moment_mub_per_cell": 0.0}

=====

No. 6
{"formula": "CsAg2Au2", "functional": "PBE", "state": "optimized geometry", "cell": [[8.654, 0.000, 0.000], [0.000, 8.654, 0.000], [0.000, 0.000, 3.154]], "species": ["Ag", "Au", "Au", "Cs", "Ag", "Au", "Cs", "Ag", "Ag", "Au"], "fractional_positions": [[0.883, 0.617, 0.000], [0.324, 0.176, 0.500], [0.824, 0.324, 0.500], [0.500, 0.500, 0.000], [0.383, 0.883, 0.000], [0.176, 0.676, 0.500], [0.000, 0.000, 0.000], [0.617, 0.117, 0.000], [0.117, 0.383, 0.000], [0.676, 0.824, 0.500]], "relative_energy_mev_per_atom": 45, "volume_a3_per_atom": 23.6, "magnetic_moment_mub_per_cell": 0.0}

=====

No. 7
{"formula": "TaSiSb2", "functional": "PBE", "state": "optimized geometry", "cell": [[-0.327, 0.416, -4.886], [3.459, -1.985, -2.872], [-1.046, -3.945, -2.737]], "species": ["Sb", "Sb", "Si", "Ta"], "fractional_positions": [[0.000, 0.000, 0.000], [0.250, 0.250, 0.250], [0.500, 0.500, 0.500], [0.750, 0.750, 0.750]], "e_form_raw_ev_per_atom": 0.6517, "volume_a3_per_atom": 21.0, "magnetic_moment_mub_per_cell": 0.0}

=====

No. 8
{"formula": "TaTcHg2", "functional": "PBE", "state": "optimized geometry", "cell": [[-2.061, 3.301, -3.495], [-4.361, 2.590, -1.278], [0.597, 4.200, 1.967]], "species": ["Ta", "Hg", "Tc", "Hg"], "fractional_positions": [[0.750, 0.750, 0.750], [0.996, 0.996, 0.004], [0.250, 0.250, 0.250], [0.504, 0.504, 0.496]], "relative_energy_mev_per_atom": 222, "volume_a3_per_atom": 18.4, "magnetic_moment_mub_per_cell": 0.0}

=====

No. 9
{"formula": "Si4Pt", "functional": "PBE", "state": "optimized geometry", "cell": [[-2.884, 2.884, 2.238], [2.884, -2.884, 2.238], [2.884, 2.884, -2.238]], "species": ["Si", "Si", "Si", "Si", "Pt"], "fractional_positions": [[0.602, 0.803, 0.405], [0.197, 0.602, 0.800], [0.803, 0.398, 0.200], [0.398, 0.197, 0.595], [0.000, 0.000, 0.000]], "e_form_raw_ev_per_atom": 0.2070, "volume_a3_per_atom": 14.9, "magnetic_moment_mub_per_cell": 0.0}

=====

No. 10
{"formula": "AlTeI2Cl", "functional": "PBE", "state": "optimized geometry", "cell": [[-3.268, -2.443, 4.099], [0.979, -5.206, -2.322], [4.428, -0.586, 3.181]], "species": ["Te", "I", "Cl", "I", "Al"], "fractional_positions": [[0.000, 0.000, 0.500], [0.000, 0.500, 0.000], [0.000, 0.000, 0.000], [0.500, 0.000, 0.000], [0.500, 0.500, 0.500]], "relative_energy_mev_per_atom": 441, "e_form_raw_ev_per_atom": 0.5208, "volume_a3_per_atom": 36.7, "magnetic_moment_mub_per_cell": 0.0}

=====

No. 11
{"formula": "Ac2TlPb5", "functional": "PBE", "state": "optimized geometry", "cell": [[-4.124, 0.872, 2.845], [-0.582, -6.974, 1.294], [8.253, 1.448, 11.521]], "species": ["Pb", "Ac", "Pb", "Pb", "Pb", "Pb", "Ac", "Tl", "Pb", "Pb", "Pb", "Pb", "Ac", "Tl", "Pb", "Ac"], "fractional_positions": [[0.500, 0.251, 0.876], [0.500, 0.748, 0.374], [0.000, 0.499, 0.750], [0.500, 0.751, 0.624], [0.000, 0.000, 0.000], [0.000, 0.999, 0.750], [0.500, 0.752, 0.874], [0.000, 0.000, 0.500], [0.500, 0.249, 0.376], [0.000, 0.001, 0.250], [0.000, 0.500, 0.500], [0.000, 0.501, 0.250], [0.500, 0.252, 0.626], [0.000, 0.500, 0.000], [0.500, 0.749, 0.124], [0.500, 0.248, 0.126]], "volume_a3_per_atom": 32.2, "dft_energy_ev_per_cell": -64.77, "magnetic_moment_mub_per_cell": 0.0}

=====

No. 12
{"formula": "TbGdInSn", "functional": "PBE", "state": "optimized geometry", "cell": [[5.363, 0.000, 0.000], [2.681, 4.644, 0.000], [2.681, 1.548, 4.379]], "species": ["Tb", "Gd", "Sn", "In"], "fractional_positions": [[0.750, 0.750, 0.750], [0.250, 0.250, 0.250], [0.500, 0.500, 0.500], [0.000, 0.000, 0.000]], "volume_a3_per_atom": 27.3, "dft_energy_ev_per_cell": -27.57, "magnetic_moment_mub_per_cell": 7.1}

=====

No. 13
{"formula": "Pm2TiCuS5", "functional": "PBE", "state": "optimized geometry", "cell": [[3.795, 0.000, 0.000], [-1.897, 8.244, 0.000], [0.000, 0.000, 11.285]], "species": ["S", "S", "S", "Pm", "Pm", "Pm", "Ti", "S", "S", "Pm", "Cu", "S", "S", "S", "S", "S", "Cu", "Ti"], "fractional_positions": [[0.052, 0.103, 0.054], [0.711, 0.421, 0.163], [0.304, 0.609, 0.362], [0.873, 0.745, 0.810], [0.127, 0.255, 0.310], [0.116, 0.232, 0.695], [0.191, 0.382, 0.013], [0.289, 0.579, 0.663], [0.948, 0.897, 0.554], [0.884, 0.768, 0.195], [0.568, 0.135, 0.946], [0.696, 0.391, 0.862], [0.498, 0.996, 0.774], [0.502, 0.004, 0.274], [0.349, 0.698, 0.006], [0.651, 0.302, 0.506], [0.432, 0.865, 0.446], [0.809, 0.618, 0.513]], "e_form_raw_ev_per_atom": -1.5573, "volume_a3_per_atom": 19.6, "magnetic_moment_mub_per_cell": 0.6}

=====

No. 14
{"formula": "ZrFeSi", "functional": "PBE", "state": "optimized geometry", "cell": [[3.552, 0.000, 0.000], [-1.776, 4.892, 0.000], [0.000, 0.000, 5.210]], "species": ["Zr", "Zr", "Fe", "Fe", "Si", "Si"], "fractional_positions": [[0.302, 0.603, 0.750], [0.698, 0.397, 0.250], [0.000, 0.000, 0.500], [0.000, 0.000, 0.000], [0.588, 0.176, 0.750], [0.412, 0.824, 0.250]], "e_form_raw_ev_per_atom": -0.7116, "volume_a3_per_atom": 15.1, "magnetic_moment_mub_per_cell": 1.6}

=====

No. 15
{"formula": "Ca2MgZr", "functional": "PBE", "state": "optimized geometry", "cell": [[11.899, 0.008, 0.005], [11.403, 3.399, 0.005], [11.403, 1.667, 2.962]], "species": ["Ca", "Ca", "Mg", "Zr"], "fractional_positions": [[0.003, 0.003, 0.003], [0.497, 0.497, 0.497], [0.250, 0.250, 0.250], [0.750, 0.750, 0.750]], "volume_a3_per_atom": 29.8, "dft_energy_ev_per_cell": -13.18, "magnetic_moment_mub_per_cell": 0.0}

=====

No. 16
{"formula": "Zn3Ga3Sb", "functional": "PBE", "state": "optimized geometry", "cell": [[7.055, 0.000, 0.000], [0.000, 7.055, 0.000], [0.000, 0.000, 7.055]], "species": ["Sb", "Ga", "Ga", "Ga", "Sb", "Ga", "Ga", "Zn", "Ga", "Zn", "Zn", "Zn", "Zn", "Zn"], "fractional_positions": [[0.000, 0.000, 0.000], [0.500, 0.750, 0.000], [0.250, 0.000, 0.500], [0.500, 0.250, 0.000], [0.500, 0.500, 0.500], [0.000, 0.500, 0.250], [0.000, 0.500, 0.750], [0.000, 0.250, 0.500], [0.750, 0.000, 0.500], [0.250, 0.500, 0.000], [0.000, 0.750, 0.500], [0.500, 0.000, 0.750], [0.500, 0.000, 0.250], [0.750, 0.500, 0.000]], "e_form_raw_ev_per_atom": 0.4490, "volume_a3_per_atom": 25.1, "magnetic_moment_mub_per_cell": 0.0}